one.
Mg3FeH: optimized geometry, PBE-GGA.

POSCAR file:
```
Mg3FeH
1.0
-1.461 -0.290 -3.920
3.930 -0.176 -1.452
-0.064 -4.180 0.333
H Mg Fe
1 3 1
Cartesian
0.000 0.000 0.000
1.965 -0.088 -0.726
-0.032 -2.090 0.166
-0.731 -0.145 -1.960
1.202 -2.323 -2.520
```

Values from the calculation:
Total moment = 0.3697 μB/atom



two.
Mg3FeH: optimized geometry, PBE-GGA.

POSCAR file:
```
Mg3FeH
1.0
-4.764 0.628 -0.832
-0.926 -4.337 2.029
-0.479 2.140 4.356
H Mg Fe
1 3 1
Cartesian
-3.085 -0.785 2.776
-0.463 -2.169 1.014
-0.239 1.070 2.178
-2.382 0.314 -0.416
0.000 0.000 0.000
```

Values from the calculation:
Total moment = 0.0615 μB/atom



It comes down to one, which is 0.885 eV/atom more stable than the next structure.



one.
MnFeH2: optimized geometry, PBE-GGA.

POSCAR file:
```
MnFeH2
1.0
4.398 0.000 0.000
0.000 4.732 0.000
0.000 0.000 5.549
Mn Fe H
4 4 8
Cartesian
0.024 2.731 2.091
2.223 2.002 3.458
2.223 4.368 4.865
0.024 0.364 0.683
0.004 2.719 4.883
2.203 4.379 2.109
0.004 0.353 3.440
2.203 2.013 0.665
1.702 0.412 0.705
1.702 2.778 2.069
3.900 4.320 4.844
3.900 1.954 3.479
3.869 1.944 0.722
1.670 2.789 4.826
1.670 0.422 3.496
3.869 4.310 2.052
```

Values from the calculation:
Total moment = 0.1061 μB/atom



two.
MnFeH2: optimized geometry, PBE-GGA.

POSCAR file:
```
MnFeH2
1.0
-1.322 -1.787 -3.539
-2.478 -2.441 2.158
-5.108 4.753 -0.490
Mn Fe H
4 4 8
Cartesian
-6.778 -0.671 -0.830
-4.911 1.410 -0.110
-2.131 1.197 -1.042
-3.998 -0.884 -1.761
-2.034 -1.154 0.109
-7.368 1.436 0.795
-1.541 -0.911 -2.666
-6.875 1.679 -1.980
-3.604 -1.715 -0.255
-4.265 -2.609 -2.024
-4.469 -0.045 -3.242
-4.644 3.134 0.153
-4.440 0.571 1.371
-5.101 -0.323 -0.399
-5.305 2.241 -1.617
-3.808 0.848 -1.473
```

Values from the calculation:
Total moment = 1.2937 μB/atom



It comes down to two, which is 0.098 eV/atom more stable than the next structure.



one.
Mn2FeH: optimized geometry, PBE-GGA.

POSCAR file:
```
Mn2FeH
1.0
6.042 0.000 0.000
0.000 6.042 0.000
3.021 3.021 1.933
H Mn Fe
2 4 2
Cartesian
3.021 3.021 0.000
3.021 6.042 0.966
3.912 1.510 0.483
2.130 4.531 0.483
4.531 5.151 1.449
7.552 6.933 1.449
0.000 0.000 0.000
6.042 3.021 0.966
```

Values from the calculation:
Total moment = 0.0002 μB/atom



two.
Mn2FeH: optimized geometry, PBE-GGA.

POSCAR file:
```
Mn2FeH
1.0
0.000 2.695 2.695
2.695 0.000 2.695
2.695 2.695 0.000
H Mn Fe
1 2 1
Cartesian
0.000 0.000 0.000
1.347 1.347 1.347
4.042 4.042 4.042
2.695 2.695 2.695
```

Values from the calculation:
Total moment = 0.2242 μB/atom



It comes down to one, which is 0.318 eV/atom more stable than the next structure.



one.
MnFe3H: optimized geometry, PBE-GGA.

POSCAR file:
```
MnFe3H
1.0
-2.185 -0.830 -2.629
1.623 -3.099 -0.371
-2.228 -1.444 2.308
H Mn Fe
1 1 3
Cartesian
0.000 0.000 0.000
-1.395 -2.686 -0.346
0.812 -1.549 -0.185
-1.114 -0.722 1.154
-1.092 -0.415 -1.315
```

Values from the calculation:
Total moment = 0.0000 μB/atom



two.
MnFe3H: optimized geometry, PBE-GGA.

POSCAR file:
```
MnFe3H
1.0
4.209 0.000 0.000
0.000 4.209 0.000
0.000 0.000 4.209
H Mn Fe
1 1 3
Cartesian
2.104 2.104 2.104
0.000 0.000 0.000
0.000 2.104 0.000
0.000 0.000 2.104
2.104 0.000 0.000
```

Values from the calculation:
Total moment = 1.1726 μB/atom



three.
MnFe3H: optimized geometry, PBE-GGA.

POSCAR file:
```
MnFe3H
1.0
2.518 0.001 0.000
1.257 4.631 0.000
0.000 0.000 7.774
Mn Fe H
2 6 2
Cartesian
2.519 2.290 7.774
1.256 2.342 3.887
2.516 3.358 5.683
1.259 1.274 1.796
2.516 3.358 2.091
1.259 1.274 5.978
1.257 4.434 7.774
2.518 0.198 3.887
1.257 4.631 5.831
1.257 4.631 1.943
```

Values from the calculation:
Total moment = 0.3920 μB/atom



It comes down to three, which is 0.020 eV/atom more stable than the next structure.



one.
Mn2FeMoH: optimized geometry, PBE-GGA.

POSCAR file:
```
Mn2FeMoH
1.0
-2.038 2.457 -1.751
-3.017 -1.660 1.183
0.000 2.220 3.116
H Mo Mn Fe
1 1 2 1
Cartesian
0.000 0.000 0.000
0.000 1.110 1.558
-1.509 -0.830 0.591
-1.019 1.229 -0.875
-2.528 1.509 1.274
```

Values from the calculation:
Total moment = 0.5118 μB/atom



two.
Mn2FeMoH: optimized geometry, PBE-GGA.

POSCAR file:
```
Mn2FeMoH
1.0
-2.398 -0.889 -2.684
-1.188 -2.876 2.015
-2.517 2.123 1.546
H Mo Mn Fe
1 1 2 1
Cartesian
0.000 0.000 0.000
-3.052 -0.821 0.439
-0.594 -1.438 1.008
-1.199 -0.445 -1.342
-1.259 1.062 0.773
```

Values from the calculation:
Total moment = 0.4897 μB/atom



It comes down to two, which is 0.065 eV/atom more stable than the next structure.



one.
MnFeMo2H: optimized geometry, PBE-GGA.

POSCAR file:
```
MnFeMo2H
1.0
-1.475 -3.196 1.764
3.229 -2.030 -0.977
1.561 0.991 3.101
H Mo Mn Fe
1 2 1 1
Cartesian
0.000 0.000 0.000
1.615 -1.015 -0.488
-0.738 -1.598 0.882
1.658 -2.118 1.944
0.781 0.495 1.551
```

Values from the calculation:
Total moment = 0.3248 μB/atom



two.
MnFeMo2H: optimized geometry, PBE-GGA.

POSCAR file:
```
MnFeMo2H
1.0
3.909 0.000 0.000
0.000 3.909 0.000
0.000 0.000 3.676
H Mo Mn Fe
1 2 1 1
Cartesian
0.000 0.000 0.000
0.000 1.954 0.000
1.954 0.000 0.000
0.000 0.000 1.838
1.954 1.954 1.838
```

Values from the calculation:
Total moment = 0.4074 μB/atom



It comes down to one, which is 0.008 eV/atom more stable than the next structure.



one.
MnFeNi2H: optimized geometry, PBE-GGA.

POSCAR file:
```
MnFeNi2H
1.0
-1.320 -0.108 -3.345
-3.211 -0.973 1.299
-0.986 3.616 0.272
Ni Mn Fe H
2 1 1 1
Cartesian
-1.605 -0.487 0.649
-0.660 -0.054 -1.672
-0.493 1.808 0.136
-2.758 1.267 -0.887
0.000 0.000 0.000
```

Values from the calculation:
Total moment = 1.3607 μB/atom



two.
MnFeNi2H: optimized geometry, PBE-GGA.

POSCAR file:
```
MnFeNi2H
1.0
-1.012 -1.407 -3.135
-1.664 -2.659 1.730
-3.152 2.039 0.102
Ni Mn Fe H
2 1 1 1
Cartesian
-0.832 -1.329 0.865
-0.506 -0.703 -1.567
-2.914 -1.013 -0.651
-1.576 1.020 0.051
0.000 0.000 0.000
```

Values from the calculation:
Total moment = 1.2477 μB/atom



It comes down to one, which is 0.018 eV/atom more stable than the next structure.



one.
Mn2FeNiH: optimized geometry, PBE-GGA.

POSCAR file:
```
Mn2FeNiH
1.0
3.639 0.000 0.000
0.000 3.639 0.000
0.000 0.000 3.591
Ni Mn Fe H
1 2 1 1
Cartesian
0.000 0.000 1.796
0.000 1.819 0.000
1.819 0.000 0.000
1.819 1.819 1.796
0.000 0.000 0.000
```

Values from the calculation:
Total moment = 0.1789 μB/atom



two.
Mn2FeNiH: optimized geometry, PBE-GGA.

POSCAR file:
```
Mn2FeNiH
1.0
3.591 0.000 0.000
0.000 3.591 0.000
0.000 0.000 3.555
Ni Mn Fe H
1 2 1 1
Cartesian
1.796 1.796 1.778
0.000 1.796 0.000
1.796 0.000 0.000
0.000 0.000 1.778
0.000 0.000 0.000
```

Values from the calculation:
Total moment = 0.7730 μB/atom



It comes down to one, which is 0.021 eV/atom more stable than the next structure.



one.
Mn2FeHPt: optimized geometry, PBE-GGA.

POSCAR file:
```
Mn2FeHPt
1.0
3.701 0.000 0.000
0.000 3.701 0.000
0.000 0.000 3.786
H Mn Fe Pt
1 2 1 1
Cartesian
0.000 0.000 0.000
0.000 1.851 0.000
1.851 0.000 0.000
0.000 0.000 1.893
1.851 1.851 1.893
```

Values from the calculation:
Total moment = 0.4472 μB/atom



two.
Mn2FeHPt: optimized geometry, PBE-GGA.

POSCAR file:
```
Mn2FeHPt
1.0
-1.402 0.751 -3.668
0.295 -3.882 -0.908
-3.456 -0.545 1.209
H Mn Fe Pt
1 2 1 1
Cartesian
0.000 0.000 0.000
0.147 -1.941 -0.454
-0.701 0.376 -1.834
-2.281 -1.838 -1.683
-1.728 -0.273 0.605
```

Values from the calculation:
Total moment = 2.0301 μB/atom



It comes down to one, which is 0.107 eV/atom more stable than the next structure.



one.
MnFe2ReH: optimized geometry, PBE-GGA.

POSCAR file:
```
MnFe2ReH
1.0
3.622 0.000 0.000
0.000 3.622 0.000
0.000 0.000 3.830
Re Mn Fe H
1 1 2 1
Cartesian
0.000 0.000 1.915
1.811 1.811 1.915
0.000 1.811 0.000
1.811 0.000 0.000
0.000 0.000 0.000
```

Values from the calculation:
Total moment = 0.0391 μB/atom



two.
MnFe2ReH: optimized geometry, PBE-GGA.

POSCAR file:
```
MnFe2ReH
1.0
3.613 0.000 0.000
0.000 3.613 0.000
0.000 0.000 3.667
Re Mn Fe H
1 1 2 1
Cartesian
1.806 1.806 1.834
0.000 0.000 1.834
0.000 1.806 0.000
1.806 0.000 0.000
0.000 0.000 0.000
```

Values from the calculation:
Total moment = 0.0001 μB/atom



It comes down to two, which is 0.055 eV/atom more stable than the next structure.



one.
Mn2FeReH: optimized geometry, PBE-GGA.

POSCAR file:
```
Mn2FeReH
1.0
-0.147 -2.503 -2.693
3.528 0.662 -0.808
1.025 -2.591 2.353
Re Mn Fe H
1 2 1 1
Cartesian
2.203 -2.216 -0.574
1.764 0.331 -0.404
-0.074 -1.252 -1.346
0.513 -1.296 1.176
0.000 0.000 0.000
```

Values from the calculation:
Total moment = 0.1975 μB/atom



two.
Mn2FeReH: optimized geometry, PBE-GGA.

POSCAR file:
```
Mn2FeReH
1.0
3.657 0.000 0.000
0.000 3.657 0.000
0.000 0.000 3.816
Re Mn Fe H
1 2 1 1
Cartesian
0.000 0.000 1.908
0.000 1.829 0.000
1.829 0.000 0.000
1.829 1.829 1.908
0.000 0.000 0.000
```

Values from the calculation:
Total moment = 0.1528 μB/atom



It comes down to one, which is 0.073 eV/atom more stable than the next structure.



one.
MnFeHRh2: optimized geometry, PBE-GGA.

POSCAR file:
```
MnFeHRh2
1.0
-0.285 0.577 3.738
2.093 -3.099 0.638
3.116 2.087 -0.085
H Mn Rh Fe
1 1 2 1
Cartesian
0.000 0.000 0.000
1.558 1.044 -0.042
1.046 -1.549 0.319
-0.143 0.289 1.869
2.462 -0.217 2.146
```

Values from the calculation:
Total moment = 0.6354 μB/atom



two.
MnFeHRh2: optimized geometry, PBE-GGA.

POSCAR file:
```
MnFeHRh2
1.0
3.908 0.000 0.000
0.000 3.908 0.000
0.000 0.000 3.701
H Mn Rh Fe
1 1 2 1
Cartesian
0.000 0.000 0.000
1.954 1.954 1.850
0.000 1.954 0.000
1.954 0.000 0.000
0.000 0.000 1.850
```

Values from the calculation:
Total moment = 0.0484 μB/atom



It comes down to two, which is 0.167 eV/atom more stable than the next structure.